No. 1
## TaAlIr (PBE)

Data for crystalline TaAlIr at its relaxed geometry.

Cell: 4.8169 4.8169 2.8883 Å, 107.26 107.26 48.05°
Fractional coordinates of all 3 atoms:
Ta  0.0000  0.0000  0.0000
Al  0.3277  0.3277  0.3289
Ir  0.6743  0.6743  0.6740

Density of states at the Fermi level (states/eV per cell): 1.64
Formation enthalpy at 0 K (meV per atom): -472
Total magnetic moment (μB per formula unit): 0.00
Calculated density (g/cm3): 14.10



No. 2
## LiCa2Sb2 (PBE)

Data for crystalline LiCa2Sb2 at its relaxed geometry.

Cell: 8.8916 8.8916 3.7571 Å, 90.00 90.00 90.00°
Fractional coordinates of all 10 atoms:
Li  0.0000  0.0000  0.0000
Li  0.5000  0.5000  0.0000
Ca  0.1352  0.3648  0.5000
Ca  0.3648  0.8648  0.5000
Ca  0.6352  0.1352  0.5000
Ca  0.8648  0.6352  0.5000
Sb  0.1667  0.6667  0.0000
Sb  0.3333  0.1667  0.0000
Sb  0.6667  0.8333  0.0000
Sb  0.8333  0.3333  0.0000

Formation energy from raw total energies (eV/f.u.): -3.7
Density of states at the Fermi level (states/eV per cell): 1.44
Total magnetic moment (μB per formula unit): 0.00
Relative energy among the computed polymorphs (meV per atom): 65
Calculated density (g/cm3): 3.70



No. 3
## LiHo3Pa3N8 (PBE)

Data for crystalline LiHo3Pa3N8 at its relaxed geometry.

Cell: 6.8198 6.8198 6.8198 Å, 60.44 60.44 60.44°
Fractional coordinates of all 15 atoms:
Li  0.0000  0.0000  0.0000
Ho  0.0000  0.0000  0.5000
Ho  0.0000  0.5000  0.0000
Ho  0.5000  0.0000  0.0000
Pa  0.0000  0.5000  0.5000
Pa  0.5000  0.0000  0.5000
Pa  0.5000  0.5000  0.0000
N  0.2430  0.2430  0.7333
N  0.2430  0.7333  0.2430
N  0.2473  0.2473  0.2473
N  0.2667  0.7570  0.7570
N  0.7333  0.2430  0.2430
N  0.7527  0.7527  0.7527
N  0.7570  0.2667  0.7570
N  0.7570  0.7570  0.2667

Formation energy from raw total energies (eV/f.u.): -19.6
Density of states at the Fermi level (states/eV per cell): 4.30
Total magnetic moment (μB per formula unit): 0.00
Calculated density (g/cm3): 9.58